First-principles (PBE) data for an optimized crystal structure of In2CoOs, as listed in Alexandria.

Properties
Formation energy from the elements in meV per atom: 344

Geometry as POSCAR:
```
In2CoOs
1.0
2.9510 0.0000 0.0000
0.0000 2.9510 0.0000
0.0000 0.0000 8.0877
Co In Os
1 2 1
Direct
0.5000 0.5000 0.7158 Co
0.0000 0.0000 0.9446 In
0.5000 0.5000 0.2939 In
0.0000 0.0000 0.5457 Os
```